# PBE-GGA Mn2CrPtI, optimized geometry
data_Mn2CrPtI
_chemical_formula_sum 'Mn2 Cr1 Pt1 I1'
_cell_length_a 4.964
_cell_length_b 5.044
_cell_length_c 4.964
_cell_angle_alpha 90.00
_cell_angle_beta 90.00
_cell_angle_gamma 90.00
_space_group_name_H-M_alt 'P 1'
_space_group_IT_number 1
_space_group_name_Hall 'P 1'
loop_
_atom_site_label
_atom_site_fract_x
_atom_site_fract_y
_atom_site_fract_z
_atom_site_occupancy
Pt1 0.000 0.000 0.000 1
Mn1 0.000 0.000 0.500 1
I1 0.500 0.500 0.500 1
Cr1 0.000 0.500 0.000 1
Mn2 0.500 0.000 0.000 1
# - raw total energy (eV for the cell shown) = -32.2
# - theoretical density (Mg/m³) = 6.47
# - ΔE_f (raw) (eV/atom) = 0.68
# - space-group type = P4/mmm, No. 123